No. 1
A crystal of MgZr2Rh relaxed with PBEsol. Source: the Alexandria database, functional SCAN.

abc: 3.3090 4.7091 5.6747
angles: 114.51 106.95 90.00
Last column: nearest neighbours and their distance in Å.
Atoms (fractional coordinates):
1 Zr 0.9696 0.9696 0.9393  2 Rh 2.68, 4 Mg 2.94
2 Zr 0.7449 0.2449 0.4899  4 Rh 2.88, 2 Mg 3.15, 4 Zr 3.16-3.22
3 Rh 0.2541 0.7541 0.5082  6 Zr 2.68-2.88, 2 Mg 2.74
4 Mg 0.5313 0.5313 0.0626  2 Rh 2.74, 4 Zr 2.94

ΔH_f (0 K) = -0.384 eV/atom
N(E_F) = 3.0 states/eV/f.u.
excess energy over the best structure of this formula in the dataset = 0.37 eV per formula unit
total moment = 0.00 μB per cell
electronic total energy = -25.420 eV/atom



No. 2
A crystal of K17In12 relaxed with PBEsol. Source: the Alexandria database, functional SCAN.

abc: 11.1387 11.1387 11.1387
angles: 109.47 109.47 109.47
Last column: nearest neighbours and their distance in Å.
Atoms (fractional coordinates):
1 K 0.6955 0.2722 0.6955  3 K 3.55-3.82, 5 In 3.73-3.88
2 K 0.4233 0.7278 0.4233  3 K 3.55-3.82, 5 In 3.73-3.88
3 K 0.5767 0.0000 0.3045  3 K 3.55-3.82, 5 In 3.73-3.88
4 K 0.0000 0.0000 0.3369  4 K 3.55-3.75, 6 In 3.72
5 K 0.0000 0.3045 0.5767  3 K 3.55-3.82, 5 In 3.73-3.88
6 K 0.3369 0.0000 0.0000  4 K 3.55-3.75, 6 In 3.72
7 K 0.0000 0.5767 0.3045  3 K 3.55-3.82, 5 In 3.73-3.88
8 K 0.2722 0.6955 0.6955  3 K 3.55-3.82, 5 In 3.73-3.88
9 K 0.7278 0.4233 0.4233  3 K 3.55-3.82, 5 In 3.73-3.88
10 K 0.0000 0.3369 0.0000  4 K 3.55-3.75, 6 In 3.72
11 K 0.6631 0.6631 0.6631  4 K 3.55-3.75, 6 In 3.72
12 K 0.6955 0.6955 0.2722  3 K 3.55-3.82, 5 In 3.73-3.88
13 K 0.0000 0.0000 0.0000  4 K 3.75, 12 In 3.79
14 K 0.3045 0.0000 0.5767  3 K 3.55-3.82, 5 In 3.73-3.88
15 K 0.3045 0.5767 0.0000  3 K 3.55-3.82, 5 In 3.73-3.88
16 K 0.4233 0.4233 0.7278  3 K 3.55-3.82, 5 In 3.73-3.88
17 K 0.5767 0.3045 0.0000  3 K 3.55-3.82, 5 In 3.73-3.88
18 In 0.8119 0.1693 0.1693  3 In 3.08-3.42
19 In 0.1881 0.3573 0.3573  3 In 3.08-3.42
20 In 0.1693 0.1693 0.8119  3 In 3.08-3.42
21 In 0.3573 0.3573 0.1881  3 In 3.08-3.42
22 In 0.8307 0.6427 0.0000  3 In 3.08-3.42
23 In 0.8307 0.0000 0.6427  3 In 3.08-3.42
24 In 0.0000 0.8307 0.6427  3 In 3.08-3.42
25 In 0.0000 0.6427 0.8307  3 In 3.08-3.42
26 In 0.1693 0.8119 0.1693  3 In 3.08-3.42
27 In 0.6427 0.0000 0.8307  3 In 3.08-3.42
28 In 0.3573 0.1881 0.3573  3 In 3.08-3.42
29 In 0.6427 0.8307 0.0000  3 In 3.08-3.42

ΔH_f (0 K) = -0.132 eV/atom
N(E_F) = 25.3 states/eV/f.u.
total moment = 0.82 μB per cell
electronic total energy = -18.830 eV/atom